Here is VBO4 after structural relaxation from the Alexandria database. Energies are from PBE with a Hubbard U.

Cell and atoms, written as CIF:
```
data_VBO4
_chemical_formula_sum 'V2 B2 O8'
_cell_length_a 4.977
_cell_length_b 4.977
_cell_length_c 7.332
_cell_angle_alpha 90.00
_cell_angle_beta 90.00
_cell_angle_gamma 90.00
_symmetry_space_group_name_H-M 'I -4'
_symmetry_Int_Tables_number 82
loop_
_symmetry_equiv_pos_as_xyz
'x,y,z'
'y,-x,-z'
'-x,-y,z'
'-y,x,-z'
'x+1/2,y+1/2,z+1/2'
'y+1/2,-x+1/2,-z+1/2'
'-x+1/2,-y+1/2,z+1/2'
'-y+1/2,x+1/2,-z+1/2'
loop_
_atom_site_label
_atom_site_type_symbol
_atom_site_fract_x
_atom_site_fract_y
_atom_site_fract_z
V1 V 0.000 0.000 0.000
B1 B 0.000 0.500 0.750
O1 O 0.085 0.274 0.865
```

Values from the calculation:
Density of states at the Fermi level (states/eV/atom): 0.000
Total moment (μB/cell): 0.00
Calculated volume (Å³/atom): 15.14
Uncorrected energy (eV/atom): -7.71
Crystal system: tetragonal
Density (g/cm3): 2.30